No. 1
SmGa4Cu3: relaxed, PBE-GGA.

Cell: 4.116 4.116 8.144 Å, 90.00 90.00 90.00°
Fractional positions:
Ga1 0.000 0.500 0.823
Ga2 0.500 0.000 0.823
Ga3 0.500 0.000 0.177
Ga4 0.000 0.500 0.177
Cu1 0.000 0.000 0.000
Cu2 0.500 0.500 0.647
Cu3 0.500 0.500 0.353
Sm1 0.000 0.000 0.500

## Properties
For the formation energy, the calculation gives -29.4 kJ/mol of atoms. The value obtained for the uncorrected energy is -3.944 eV per atom. The calculation puts the spin magnetization at 0.0 μB per formula unit. The space-group type is P4/mmm (123).


No. 2
Sm6Ga2Cu: relaxed, PBE-GGA.

Cell: 5.012 7.144 8.644 Å, 114.41 106.79 90.00°
Fractional positions:
Cu1 0.000 0.000 0.000
Sm1 0.500 0.757 0.000
Sm2 0.163 0.410 0.327
Sm3 0.837 0.590 0.673
Sm4 0.837 0.083 0.673
Sm5 0.163 0.917 0.327
Sm6 0.500 0.243 0.000
Ga1 0.333 0.333 0.666
Ga2 0.667 0.667 0.334

## Properties
For the formation energy, the calculation gives -12.2 kJ/mol of atoms. The value obtained for the uncorrected energy is -4.400 eV per atom. The calculation puts the spin magnetization at 0.0 μB per formula unit. The space-group type is C2/m (12).


No. 3
Sm5GaCu4: relaxed, PBE-GGA.

Cell: 3.550 3.550 18.008 Å, 90.00 90.00 90.00°
Fractional positions:
Sm1 0.500 0.500 0.105
Sm2 0.500 0.500 0.697
Sm3 0.500 0.500 0.303
Sm4 0.500 0.500 0.500
Sm5 0.500 0.500 0.895
Cu1 0.000 0.000 0.598
Cu2 0.000 0.000 0.795
Cu3 0.000 0.000 0.402
Cu4 0.000 0.000 0.205
Ga1 0.000 0.000 0.000

## Properties
For the formation energy, the calculation gives -24.7 kJ/mol of atoms. The value obtained for the uncorrected energy is -4.556 eV per atom. The calculation puts the spin magnetization at 0.0 μB per formula unit. The space-group type is P4/mmm (123).


No. 4
Sm2GaCu16: relaxed, PBE-GGA.

Cell: 6.518 6.518 6.518 Å, 82.87 82.87 82.87°
Fractional positions:
Cu1 0.653 0.653 0.156
Cu2 0.299 0.002 0.705
Cu3 0.299 0.705 0.002
Cu4 0.346 0.848 0.346
Cu5 0.002 0.299 0.705
Cu6 0.653 0.156 0.653
Cu7 0.705 0.299 0.002
Cu8 0.500 0.002 0.002
Cu9 0.346 0.346 0.848
Cu10 0.705 0.002 0.299
Cu11 0.002 0.705 0.299
Cu12 0.096 0.096 0.096
Cu13 0.002 0.002 0.500
Cu14 0.156 0.653 0.653
Cu15 0.002 0.500 0.002
Cu16 0.848 0.346 0.346
Sm1 0.339 0.339 0.339
Sm2 0.649 0.649 0.649
Ga1 0.899 0.899 0.899

## Properties
For the formation energy, the calculation gives -12.8 kJ/mol of atoms. The value obtained for the uncorrected energy is -4.238 eV per atom. The calculation puts the spin magnetization at 0.0 μB per formula unit. The space-group type is R3m (160).